No. 1
Compound: SrTiFe2C
Source: Alexandria
Functional: PBE
Structure: optimized geometry

Results
ρ	5.61	Mg/m³
ΔH_f (0 K)	0.78	eV/atom

abc: 3.9041 5.0354 3.9041
angles: 90.00 90.00 90.00
Closest atoms and distances in Å follow each position.
Positions (direct):
C 0.0000 0.0000 0.0000  4 Fe 1.95
Fe 0.0000 0.0000 0.5000  2 C 1.95
Fe 0.5000 0.0000 0.0000  2 C 1.95
Sr 0.0000 0.5000 0.0000  2 C 2.52, 4 Ti 2.76
Ti 0.5000 0.5000 0.5000  4 Sr 2.76



No. 2
Compound: NaCd3Se3
Source: Alexandria
Functional: PBE
Structure: optimized geometry

Results
ρ	4.93	Mg/m³
energy relative to the elements, uncorrected	-0.536	eV/atom

abc: 8.0642 8.0642 8.5208
angles: 61.76 61.76 60.00
Closest atoms and distances in Å follow each position.
Positions (direct):
Cd 0.5747 0.2068 0.3383  4 Se 2.74-2.89
Cd 0.4253 0.7932 0.6617  4 Se 2.74-2.89
Cd 0.1198 0.4253 0.6617  4 Se 2.74-2.89
Cd 0.2068 0.8802 0.3383  4 Se 2.74-2.89
Cd 0.8802 0.5747 0.3383  4 Se 2.74-2.89
Cd 0.7932 0.1198 0.6617  4 Se 2.74-2.89
Se 0.7405 0.4364 0.7438  4 Cd 2.74-2.89
Se 0.5636 0.9207 0.2562  4 Cd 2.74-2.89
Se 0.9207 0.2596 0.2562  4 Cd 2.74-2.89
Se 0.4364 0.0793 0.7438  4 Cd 2.74-2.89
Se 0.0793 0.7405 0.7438  4 Cd 2.74-2.89
Se 0.2596 0.5636 0.2562  4 Cd 2.74-2.89
Na 0.6673 0.6673 0.9981  6 Se 3.17-3.24
Na 0.3327 0.3327 0.0019  6 Se 3.17-3.24



No. 3
Compound: La8Co3NCl4
Source: Alexandria
Functional: PBE
Structure: optimized geometry

Results
ρ	5.78	Mg/m³
energy relative to the elements, uncorrected	-1.067	eV/atom

abc: 7.6782 8.8261 8.1288
angles: 117.22 118.18 90.00
Closest atoms and distances in Å follow each position.
Positions (direct):
Co 0.5000 0.5000 0.5000  6 La 2.66-2.97
Co 0.5000 0.5000 0.0000  6 La 2.67-2.97
Co 0.0000 0.5000 0.5000  6 La 2.66-2.97
Cl 0.5000 0.0000 0.5000  6 La 3.21-3.25
Cl 0.0000 0.0000 0.0000  6 La 3.22-3.23
Cl 0.0000 0.0000 0.5000  6 La 3.21-3.25
Cl 0.5000 0.0000 0.0000  6 La 3.28-3.32
La 0.2311 0.6937 0.9847  1 N 2.55, 1 Co 2.67
La 0.7427 0.7028 0.4853  3 Co 2.66-2.97
La 0.2384 0.6977 0.4768  2 Co 2.66, 1 N 2.92
La 0.2464 0.3063 0.0153  1 N 2.55, 1 Co 2.67
La 0.7689 0.3063 0.0153  1 N 2.55, 1 Co 2.67
La 0.7616 0.3023 0.5232  2 Co 2.66, 1 N 2.92
La 0.2573 0.2972 0.5147  3 Co 2.66-2.97
La 0.7536 0.6937 0.9847  1 N 2.55, 1 Co 2.67
N 0.0000 0.5000 0.0000  4 La 2.55



No. 4
Compound: ErGa2Re
Source: Alexandria
Functional: PBE
Structure: optimized geometry

Results
ρ	11.08	Mg/m³
ΔH_f (0 K)	0.10	eV/atom

abc: 3.0623 3.0623 9.2650
angles: 80.49 80.49 60.00
Closest atoms and distances in Å follow each position.
Positions (direct):
Ga 0.7396 0.7396 0.7811  3 Re 2.66
Ga 0.2604 0.2604 0.2189  3 Re 2.66
Re 0.0000 0.0000 0.0000  6 Ga 2.66
Er 0.5000 0.5000 0.5000  6 Er 3.06, 6 Ga 3.11



No. 5
Compound: Zr2UBi
Source: Alexandria
Functional: PBE
Structure: optimized geometry

Results
ρ	10.53	Mg/m³
polymorph energy (0 for the lowest one)	193	meV/atom
ΔH_f (0 K)	0.21	eV/atom

abc: 3.3539 3.3539 10.3684
angles: 80.69 80.69 60.00
Closest atoms and distances in Å follow each position.
Positions (direct):
U 0.0000 0.0000 0.0000  6 Zr 3.20, 6 U 3.35
Zr 0.2498 0.2498 0.2505  3 Bi 3.20, 3 U 3.20, 6 Zr 3.35
Zr 0.7502 0.7502 0.7495  3 Bi 3.20, 3 U 3.20, 6 Zr 3.35
Bi 0.5000 0.5000 0.5000  6 Zr 3.20, 6 Bi 3.35



No. 6
Compound: NbGe2BiO8
Source: Alexandria
Functional: PBE
Structure: optimized geometry

Results
ρ	5.46	Mg/m³
energy relative to the elements, uncorrected	-1.645	eV/atom

abc: 5.4996 5.4996 6.6806
angles: 90.00 90.00 120.00
Closest atoms and distances in Å follow each position.
Positions (direct):
O 0.3198 0.1599 0.1917  1 Ge 1.78, 1 Nb 1.99
O 0.1599 0.3198 0.8083  1 Ge 1.78, 1 Nb 1.99
O 0.8401 0.6802 0.1917  1 Ge 1.78, 1 Nb 1.99
O 0.6667 0.3333 0.5462  1 Ge 1.71
O 0.8401 0.1599 0.1917  1 Ge 1.78, 1 Nb 1.99
O 0.6802 0.8401 0.8083  1 Ge 1.78, 1 Nb 1.99
O 0.1599 0.8401 0.8083  1 Ge 1.78, 1 Nb 1.99
O 0.3333 0.6667 0.4538  1 Ge 1.71
Ge 0.6667 0.3333 0.2899  4 O 1.71-1.78
Ge 0.3333 0.6667 0.7101  4 O 1.71-1.78
Nb 0.0000 0.0000 0.0000  6 O 1.99
Bi 0.0000 0.0000 0.5000  6 O 2.56



No. 7
Compound: GePPbO2
Source: Alexandria
Functional: PBE
Structure: optimized geometry

Results
ρ	7.62	Mg/m³
energy relative to the elements, uncorrected	-0.484	eV/atom
polymorph energy (0 for the lowest one)	0	meV/atom

abc: 3.8852 3.8852 4.9516
angles: 90.00 90.00 90.00
Closest atoms and distances in Å follow each position.
Positions (direct):
Pb 0.5000 0.5000 0.5000  4 P 2.75
O 0.5000 0.0000 0.0000  2 Ge 1.94
O 0.0000 0.5000 0.0000  2 Ge 1.94
Ge 0.0000 0.0000 0.0000  4 O 1.94
P 0.0000 0.0000 0.5000  2 Ge 2.48, 4 Pb 2.75



No. 8
Compound: TaHg2Pt
Source: Alexandria
Functional: PBE
Structure: optimized geometry

Results
ρ	16.88	Mg/m³
polymorph energy (0 for the lowest one)	377	meV/atom
ΔH_f (0 K)	0.34	eV/atom

abc: 5.4780 5.4780 2.8611
angles: 90.00 90.00 117.04
Closest atoms and distances in Å follow each position.
Positions (direct):
Hg 0.0000 0.0000 0.0000  4 Hg 2.86, 4 Pt 3.09, 4 Ta 3.09
Hg 0.5000 0.5000 0.0000  4 Hg 2.86, 4 Ta 3.09, 4 Pt 3.09
Pt 0.5000 0.0000 0.5000  2 Ta 2.86, 2 Pt 2.86, 8 Hg 3.09
Ta 0.0000 0.5000 0.5000  2 Pt 2.86, 2 Ta 2.86, 8 Hg 3.09